UZnCo2O6 | PBE with a Hubbard U | optimized geometry

Properties
DOS at the Fermi energy	6.093	states/eV/f.u.
total magnetic moment	6.00	μB/cell
energy	-6.7044	eV/atom

Cell and atoms, written as CIF:
```
data_UZnCo2O6
_chemical_formula_sum 'U1 Zn1 Co2 O6'
_cell_length_a 5.992
_cell_length_b 5.992
_cell_length_c 4.126
_cell_angle_alpha 90.00
_cell_angle_beta 90.00
_cell_angle_gamma 90.00
_symmetry_space_group_name_H-M 'P 1'
_symmetry_Int_Tables_number 1
_symmetry_space_group_name_Hall 'P 1'
loop_
_atom_site_label
_atom_site_type_symbol
_atom_site_fract_x
_atom_site_fract_y
_atom_site_fract_z
U1 U 0.000 0.000 0.000
Zn1 Zn 0.500 0.500 0.002
Co1 Co 0.000 0.500 0.998
Co2 Co 0.500 0.000 0.998
O1 O 0.000 0.000 0.500
O2 O 0.247 0.247 0.999
O3 O 0.247 0.753 0.999
O4 O 0.500 0.500 0.501
O5 O 0.753 0.247 0.999
O6 O 0.753 0.753 0.999
```